# 1
A plane-wave DFT calculation with GGA-PBEsol was carried out for crystalline Hg2MoP at its relaxed geometry.

N(E_F): 0.6221 states/eV/atom
calculated volume: 18.2 A^3/atom
crystal system: monoclinic
ΔE to the lowest computed polymorph: 310 meV per atom

Cell lengths 2.8453, 5.2117, 4.9374 Å; angles 90.00, 96.46, 90.00 degrees
Closest atoms and distances in Å follow each position.
Fractional positions:
1 Hg 0.2490 0.0000 0.2526  6 Hg 2.69-3.01, 2 P 2.94, 2 Mo 3.00
2 Hg 0.7510 0.0000 0.7474  6 Hg 2.69-3.01, 2 P 2.94, 2 Mo 3.00
3 Mo 0.0000 0.5000 0.5000  2 P 2.47
4 P 0.0000 0.5000 0.0000  2 Mo 2.47



# 2
A plane-wave DFT calculation with GGA-PBEsol was carried out for crystalline HgMo3P at its relaxed geometry.

N(E_F): 1.3932 states/eV/atom
calculated volume: 17.4 A^3/atom
calculated total energy: -7.74 eV per atom
crystal system: cubic

Cell lengths 4.4301, 4.4301, 4.4301 Å; angles 90.00, 90.00, 90.00 degrees
Closest atoms and distances in Å follow each position.
Fractional positions:
1 Hg 0.0000 0.0000 0.0000  12 Mo 3.13
2 Mo 0.0000 0.5000 0.5000  2 P 2.22
3 Mo 0.5000 0.0000 0.5000  2 P 2.22
4 Mo 0.5000 0.5000 0.0000  2 P 2.22
5 P 0.5000 0.5000 0.5000  6 Mo 2.22



Number 1: total moment 0.0 μB per formula unit. Number 2: total moment 0.0 μB per formula unit.